Entry A
This record from Alexandria via LeMat-Bulk describes a geometry-optimized La2GaTe structure. The functional is GGA-PBE.

ρ   6.03 Mg/m³
M_tot   0.0 μB per formula unit
Crystal system   trigonal

Geometry as CIF:
```
data_La2GaTe
_cell_length_a 4.3636
_cell_length_b 4.3636
_cell_length_c 23.8209
_cell_angle_alpha 90.00
_cell_angle_beta 90.00
_cell_angle_gamma 120.00
_symmetry_space_group_name_H-M 'R -3 m'
_symmetry_Int_Tables_number 166
_symmetry_space_group_name_Hall '-R 3 2"'
loop_
_atom_site_label
_atom_site_fract_x
_atom_site_fract_y
_atom_site_fract_z
La1 0.0000 0.0000 0.2471
Ga1 0.0000 0.0000 0.5000
Te1 0.0000 0.0000 0.0000
```



Entry B
This record from Alexandria via LeMat-Bulk describes a geometry-optimized La2GaTe structure. The functional is GGA-PBE.

ρ   6.27 Mg/m³
M_tot   0.0 μB per formula unit
Crystal system   orthorhombic

Geometry as CIF:
```
data_La2GaTe
_cell_length_a 4.6448
_cell_length_b 24.5175
_cell_length_c 4.4233
_cell_angle_alpha 90.00
_cell_angle_beta 90.00
_cell_angle_gamma 90.00
_symmetry_space_group_name_H-M 'C m c m'
_symmetry_Int_Tables_number 63
_symmetry_space_group_name_Hall '-C 2c 2'
loop_
_atom_site_label
_atom_site_fract_x
_atom_site_fract_y
_atom_site_fract_z
La1 0.0000 0.0610 0.2500
La2 0.0000 0.3250 0.2500
Ga1 0.0000 0.4645 0.2500
Te1 0.0000 0.1921 0.2500
```



Which structure loses on stability? entry A does.



Entry A
This record from Alexandria via LeMat-Bulk describes a geometry-optimized La2GaTe structure. The functional is GGA-PBE.

ρ   6.75 Mg/m³
M_tot   0.0 μB per formula unit
Crystal system   tetragonal

Geometry as CIF:
```
data_La2GaTe
_cell_length_a 3.7798
_cell_length_b 3.7798
_cell_length_c 8.1762
_cell_angle_alpha 90.00
_cell_angle_beta 90.00
_cell_angle_gamma 90.00
_symmetry_space_group_name_H-M 'P 4/m m m'
_symmetry_Int_Tables_number 123
_symmetry_space_group_name_Hall '-P 4 2'
loop_
_atom_site_label
_atom_site_fract_x
_atom_site_fract_y
_atom_site_fract_z
La1 0.0000 0.0000 0.2435
Ga1 0.5000 0.5000 0.0000
Te1 0.5000 0.5000 0.5000
```



Entry B
This record from Alexandria via LeMat-Bulk describes a geometry-optimized La2GaTe structure. The functional is GGA-PBE.

ρ   6.72 Mg/m³
M_tot   0.0 μB per formula unit
Crystal system   cubic

Geometry as CIF:
```
data_La2GaTe
_cell_length_a 7.7711
_cell_length_b 7.7711
_cell_length_c 7.7711
_cell_angle_alpha 90.00
_cell_angle_beta 90.00
_cell_angle_gamma 90.00
_symmetry_space_group_name_H-M 'F m -3 m'
_symmetry_Int_Tables_number 225
_symmetry_space_group_name_Hall '-F 4 2 3'
loop_
_atom_site_label
_atom_site_fract_x
_atom_site_fract_y
_atom_site_fract_z
La1 0.2500 0.2500 0.2500
Ga1 0.0000 0.0000 0.0000
Te1 0.0000 0.0000 0.5000
```



Which structure loses on stability? entry B does.



Entry A
This record from Alexandria via LeMat-Bulk describes a geometry-optimized LaGa2Te2 structure. The functional is GGA-PBE.

ρ   6.09 Mg/m³
M_tot   0.0 μB per formula unit
Crystal system   tetragonal

Geometry as CIF:
```
data_LaGa2Te2
_cell_length_a 4.0150
_cell_length_b 4.0150
_cell_length_c 18.0545
_cell_angle_alpha 90.00
_cell_angle_beta 90.00
_cell_angle_gamma 90.00
_symmetry_space_group_name_H-M 'I 4/m m m'
_symmetry_Int_Tables_number 139
_symmetry_space_group_name_Hall '-I 4 2'
loop_
_atom_site_label
_atom_site_fract_x
_atom_site_fract_y
_atom_site_fract_z
La1 0.0000 0.0000 0.0000
Ga1 0.0000 0.5000 0.2500
Te1 0.0000 0.0000 0.4006
```



Entry B
This record from Alexandria via LeMat-Bulk describes a geometry-optimized LaGa2Te2 structure. The functional is GGA-PBE.

ρ   6.27 Mg/m³
M_tot   0.0 μB per formula unit
Crystal system   tetragonal

Geometry as CIF:
```
data_LaGa2Te2
_cell_length_a 5.7463
_cell_length_b 5.7463
_cell_length_c 8.5584
_cell_angle_alpha 90.00
_cell_angle_beta 90.00
_cell_angle_gamma 90.00
_symmetry_space_group_name_H-M 'I 4/m m m'
_symmetry_Int_Tables_number 139
_symmetry_space_group_name_Hall '-I 4 2'
loop_
_atom_site_label
_atom_site_fract_x
_atom_site_fract_y
_atom_site_fract_z
La1 0.0000 0.0000 0.0000
Ga1 0.0000 0.0000 0.3513
Te1 0.0000 0.5000 0.2500
```



Which structure loses on stability? entry B does.



Entry A
This record from Alexandria via LeMat-Bulk describes a geometry-optimized La3GaTe structure. The functional is GGA-PBE.

ρ   5.37 Mg/m³
M_tot   0.0 μB per formula unit
Crystal system   cubic

Geometry as CIF:
```
data_La3GaTe
_cell_length_a 5.7460
_cell_length_b 5.7460
_cell_length_c 5.7460
_cell_angle_alpha 90.00
_cell_angle_beta 90.00
_cell_angle_gamma 90.00
_symmetry_space_group_name_H-M 'P m -3 m'
_symmetry_Int_Tables_number 221
_symmetry_space_group_name_Hall '-P 4 2 3'
loop_
_atom_site_label
_atom_site_fract_x
_atom_site_fract_y
_atom_site_fract_z
La1 0.0000 0.0000 0.5000
Ga1 0.0000 0.0000 0.0000
Te1 0.5000 0.5000 0.5000
```



Entry B
This record from Alexandria via LeMat-Bulk describes a geometry-optimized La3GaTe structure. The functional is GGA-PBE.

ρ   6.46 Mg/m³
M_tot   0.0 μB per formula unit
Crystal system   monoclinic

Geometry as CIF:
```
data_La3GaTe
_cell_length_a 8.3421
_cell_length_b 4.2732
_cell_length_c 9.1006
_cell_angle_alpha 90.00
_cell_angle_beta 103.21
_cell_angle_gamma 90.00
_symmetry_space_group_name_H-M 'P 1 21/m 1'
_symmetry_Int_Tables_number 11
_symmetry_space_group_name_Hall '-P 2yb'
loop_
_atom_site_label
_atom_site_fract_x
_atom_site_fract_y
_atom_site_fract_z
La1 0.1460 0.2500 0.1046
La2 0.2055 0.2500 0.4635
La3 0.3242 0.7500 0.8559
Ga1 0.0464 0.2500 0.7402
Te1 0.4303 0.7500 0.2641
```



Which structure loses on stability? entry A does.



Entry A
This record from Alexandria via LeMat-Bulk describes a geometry-optimized La2ThGa structure. The functional is GGA-PBE.

ρ   8.20 Mg/m³
M_tot   0.0 μB per formula unit
Crystal system   tetragonal

Geometry as CIF:
```
data_La2ThGa
_cell_length_a 4.8569
_cell_length_b 4.8569
_cell_length_c 4.9732
_cell_angle_alpha 90.00
_cell_angle_beta 90.00
_cell_angle_gamma 90.00
_symmetry_space_group_name_H-M 'P 4/m m m'
_symmetry_Int_Tables_number 123
_symmetry_space_group_name_Hall '-P 4 2'
loop_
_atom_site_label
_atom_site_fract_x
_atom_site_fract_y
_atom_site_fract_z
La1 0.0000 0.5000 0.0000
Th1 0.0000 0.0000 0.5000
Ga1 0.5000 0.5000 0.5000
```



Entry B
This record from Alexandria via LeMat-Bulk describes a geometry-optimized La2ThGa structure. The functional is GGA-PBE.

ρ   7.99 Mg/m³
M_tot   0.0 μB per formula unit
Crystal system   cubic

Geometry as CIF:
```
data_La2ThGa
_cell_length_a 7.8397
_cell_length_b 7.8397
_cell_length_c 7.8397
_cell_angle_alpha 90.00
_cell_angle_beta 90.00
_cell_angle_gamma 90.00
_symmetry_space_group_name_H-M 'F m -3 m'
_symmetry_Int_Tables_number 225
_symmetry_space_group_name_Hall '-F 4 2 3'
loop_
_atom_site_label
_atom_site_fract_x
_atom_site_fract_y
_atom_site_fract_z
La1 0.2500 0.2500 0.2500
Th1 0.0000 0.0000 0.0000
Ga1 0.0000 0.0000 0.5000
```



Which structure loses on stability? entry B does.



Entry A
This record from Alexandria via LeMat-Bulk describes a geometry-optimized LaTi3Ga structure. The functional is GGA-PBE.

ρ   4.92 Mg/m³
M_tot   3.1 μB per formula unit
Crystal system   cubic

Geometry as CIF:
```
data_LaTi3Ga
_cell_length_a 4.9158
_cell_length_b 4.9158
_cell_length_c 4.9158
_cell_angle_alpha 90.00
_cell_angle_beta 90.00
_cell_angle_gamma 90.00
_symmetry_space_group_name_H-M 'P m -3 m'
_symmetry_Int_Tables_number 221
_symmetry_space_group_name_Hall '-P 4 2 3'
loop_
_atom_site_label
_atom_site_fract_x
_atom_site_fract_y
_atom_site_fract_z
La1 0.0000 0.0000 0.0000
Ti1 0.0000 0.5000 0.5000
Ga1 0.5000 0.5000 0.5000
```



Entry B
This record from Alexandria via LeMat-Bulk describes a geometry-optimized LaTi3Ga structure. The functional is GGA-PBE.

ρ   5.43 Mg/m³
M_tot   0.0 μB per formula unit
Crystal system   cubic

Geometry as CIF:
```
data_LaTi3Ga
_cell_length_a 4.7575
_cell_length_b 4.7575
_cell_length_c 4.7575
_cell_angle_alpha 90.00
_cell_angle_beta 90.00
_cell_angle_gamma 90.00
_symmetry_space_group_name_H-M 'P m -3 m'
_symmetry_Int_Tables_number 221
_symmetry_space_group_name_Hall '-P 4 2 3'
loop_
_atom_site_label
_atom_site_fract_x
_atom_site_fract_y
_atom_site_fract_z
La1 0.0000 0.0000 0.0000
Ti1 0.0000 0.0000 0.5000
Ga1 0.5000 0.5000 0.5000
```



Which structure loses on stability? entry B does.



Entry A
This record from Alexandria via LeMat-Bulk describes a geometry-optimized LaTiGa2 structure. The functional is GGA-PBE.

ρ   6.28 Mg/m³
M_tot   1.0 μB per formula unit
Crystal system   cubic

Geometry as CIF:
```
data_LaTiGa2
_cell_length_a 7.0122
_cell_length_b 7.0122
_cell_length_c 7.0122
_cell_angle_alpha 90.00
_cell_angle_beta 90.00
_cell_angle_gamma 90.00
_symmetry_space_group_name_H-M 'F m -3 m'
_symmetry_Int_Tables_number 225
_symmetry_space_group_name_Hall '-F 4 2 3'
loop_
_atom_site_label
_atom_site_fract_x
_atom_site_fract_y
_atom_site_fract_z
La1 0.0000 0.0000 0.0000
Ti1 0.0000 0.0000 0.5000
Ga1 0.2500 0.2500 0.2500
```



Entry B
This record from Alexandria via LeMat-Bulk describes a geometry-optimized LaTiGa2 structure. The functional is GGA-PBE.

ρ   5.84 Mg/m³
M_tot   0.0 μB per formula unit
Crystal system   trigonal

Geometry as CIF:
```
data_LaTiGa2
_cell_length_a 4.3851
_cell_length_b 4.3851
_cell_length_c 16.7098
_cell_angle_alpha 90.00
_cell_angle_beta 90.00
_cell_angle_gamma 120.00
_symmetry_space_group_name_H-M 'R -3 m'
_symmetry_Int_Tables_number 166
_symmetry_space_group_name_Hall '-R 3 2"'
loop_
_atom_site_label
_atom_site_fract_x
_atom_site_fract_y
_atom_site_fract_z
La1 0.0000 0.0000 0.0000
Ti1 0.0000 0.0000 0.5000
Ga1 0.0000 0.0000 0.2168
```



Which structure loses on stability? entry A does.



Entry A
This record from Alexandria via LeMat-Bulk describes a geometry-optimized LaTiGa2 structure. The functional is GGA-PBE.

ρ   5.28 Mg/m³
M_tot   0.0 μB per formula unit
Crystal system   tetragonal

Geometry as CIF:
```
data_LaTiGa2
_cell_length_a 4.7611
_cell_length_b 4.7611
_cell_length_c 18.1045
_cell_angle_alpha 90.00
_cell_angle_beta 90.00
_cell_angle_gamma 90.00
_symmetry_space_group_name_H-M 'I -4 2 d'
_symmetry_Int_Tables_number 122
_symmetry_space_group_name_Hall 'I -4 2bw'
loop_
_atom_site_label
_atom_site_fract_x
_atom_site_fract_y
_atom_site_fract_z
La1 0.0000 0.0000 0.0000
Ti1 0.0000 0.0000 0.5000
Ga1 0.1088 0.2500 0.6250
```



Entry B
This record from Alexandria via LeMat-Bulk describes a geometry-optimized LaTiGa2 structure. The functional is GGA-PBE.

ρ   6.46 Mg/m³
M_tot   0.8 μB per formula unit
Crystal system   tetragonal

Geometry as CIF:
```
data_LaTiGa2
_cell_length_a 3.5004
_cell_length_b 3.5004
_cell_length_c 6.8441
_cell_angle_alpha 90.00
_cell_angle_beta 90.00
_cell_angle_gamma 90.00
_symmetry_space_group_name_H-M 'P 4/m m m'
_symmetry_Int_Tables_number 123
_symmetry_space_group_name_Hall '-P 4 2'
loop_
_atom_site_label
_atom_site_fract_x
_atom_site_fract_y
_atom_site_fract_z
La1 0.0000 0.0000 0.0000
Ti1 0.0000 0.0000 0.5000
Ga1 0.5000 0.5000 0.3062
```



Which structure loses on stability? entry A does.